This record from Alexandria via LeMat-Bulk describes a geometry-optimized ReNiAs2 structure. The functional is GGA-PBEsol.

It has space group F-43m (No. 216), with a = 6.143 Å, b = 6.143 Å, c = 6.143 Å, α = 90.00°, β = 90.00° and γ = 90.00°. The distinct sites, in fractional coordinates, are Re at (0.000, 0.000, 0.000), Ni at (0.250, 0.250, 0.750), As at (0.000, 0.000, 0.500) and As at (0.250, 0.250, 0.250).

Its energy above the most stable polymorph in this dataset is 0.114 eV/atom. As for the magnetization: 0.00 μB/f.u. The calculation puts the density at 11.31 Mg/m³. The volume is 57.9 Å³/f.u. The calculation puts the total DFT energy (no corrections) at -109.24 eV for the cell shown. As for the energy of formation from the pure elements: 598 meV per atom.

This record from Alexandria via LeMat-Bulk describes a geometry-optimized ReNiAs structure. The functional is GGA-PBEsol.

It has space group F-43m (No. 216), with a = 5.606 Å, b = 5.606 Å, c = 5.606 Å, α = 90.00°, β = 90.00° and γ = 90.00°. The distinct sites, in fractional coordinates, are Re at (0.000, 0.000, 0.000), Ni at (0.250, 0.250, 0.250) and As at (0.000, 0.000, 0.500).

Its energy above the most stable polymorph in this dataset is 0.479 eV/atom. As for the magnetization: 0.00 μB/f.u. The calculation puts the density at 12.06 Mg/m³. The volume is 44.0 Å³/f.u. The calculation puts the total DFT energy (no corrections) at -90.36 eV for the cell shown. As for the energy of formation from the pure elements: 668 meV per atom.

This record from Alexandria via LeMat-Bulk describes a geometry-optimized ReNiAs structure. The functional is GGA-PBEsol.

It has space group P3m1 (No. 156), with a = 2.8456 Å, b = 2.8456 Å, c = 5.8144 Å, α = 90.00°, β = 90.00° and γ = 120.00°. The distinct sites, in fractional coordinates, are Re at (0.0000, 0.0000, 0.0000), Ni at (0.6667, 0.3333, 0.3436) and As at (0.3333, 0.6667, 0.6637).

Its energy above the most stable polymorph in this dataset is 0.009 eV/atom. As for the magnetization: 0.00 μB/f.u. The calculation puts the density at 13.02 Mg/m³. The volume is 40.8 Å³/f.u. The calculation puts the total DFT energy (no corrections) at -24.00 eV for the cell shown. As for the energy of formation from the pure elements: 198 meV per atom.

This record from Alexandria via LeMat-Bulk describes a geometry-optimized ReNiAs structure. The functional is GGA-PBEsol.

It has space group F-43m (No. 216), with a = 5.733 Å, b = 5.733 Å, c = 5.733 Å, α = 90.00°, β = 90.00° and γ = 90.00°. The distinct sites, in fractional coordinates, are Re at (0.000, 0.000, 0.000), Ni at (0.250, 0.250, 0.250) and As at (0.250, 0.250, 0.750).

Its energy above the most stable polymorph in this dataset is 0.208 eV/atom. As for the magnetization: 0.59 μB/f.u. The calculation puts the density at 11.27 Mg/m³. The volume is 47.1 Å³/f.u. The calculation puts the total DFT energy (no corrections) at -93.62 eV for the cell shown. As for the energy of formation from the pure elements: 397 meV per atom.

This record from Alexandria via LeMat-Bulk describes a geometry-optimized ReNiAs2Se structure. The functional is GGA-PBEsol.

It has space group P4/mmm (No. 123), with a = 4.397 Å, b = 4.397 Å, c = 4.560 Å, α = 90.00°, β = 90.00° and γ = 90.00°. The distinct sites, in fractional coordinates, are Re at (0.000, 0.000, 0.000), Ni at (0.500, 0.500, 0.500), As at (0.000, 0.500, 0.500) and Se at (0.500, 0.500, 0.000).

As for the magnetization: 1.37 μB/f.u. As for the raw formation energy: 1.0853 eV per atom. The calculation puts the density at 8.92 Mg/m³. The volume is 88.2 Å³/f.u. The calculation puts the total DFT energy (no corrections) at -28.13 eV for the cell shown.

This record from Alexandria via LeMat-Bulk describes a geometry-optimized NiAs2Rh3 structure. The functional is GGA-PBEsol.

It has space group Pmc2_1 (No. 26), with a = 3.867 Å, b = 7.403 Å, c = 5.737 Å, α = 90.00°, β = 90.00° and γ = 90.00°. The distinct sites, in fractional coordinates, are Ni at (0.000, 0.077, 0.000), As at (0.000, 0.360, 0.198), As at (0.500, 0.138, 0.734), Rh at (0.000, 0.319, 0.616), Rh at (0.500, 0.173, 0.315) and Rh at (0.500, 0.430, 0.936).

As for the magnetization: 0.00 μB/f.u. The calculation puts the density at 10.46 Mg/m³. The volume is 82.1 Å³/f.u. The calculation puts the total DFT energy (no corrections) at -85.87 eV for the cell shown. As for the energy of formation from the pure elements: -358 meV per atom.

This record from Alexandria via LeMat-Bulk describes a geometry-optimized NiAsRh2 structure. The functional is GGA-PBEsol.

It has space group C2/m (No. 12), with a = 5.272 Å, b = 8.611 Å, c = 2.739 Å, α = 90.00°, β = 120.78° and γ = 90.00°. The distinct sites, in fractional coordinates, are Ni at (0.000, 0.000, 0.000), As at (0.000, 0.500, 0.000) and Rh at (0.250, 0.250, 0.500).

As for the magnetization: 0.00 μB/f.u. The calculation puts the density at 10.55 Mg/m³. The volume is 53.4 Å³/f.u. The calculation puts the total DFT energy (no corrections) at -55.00 eV for the cell shown. As for the energy of formation from the pure elements: 11 meV per atom.

This record from Alexandria via LeMat-Bulk describes a geometry-optimized NiAsRh2 structure. The functional is GGA-PBEsol.

It has space group R3m (No. 160, hexagonal axes), with a = 2.7746 Å, b = 2.7746 Å, c = 23.8354 Å, α = 90.00°, β = 90.00° and γ = 120.00°. The distinct sites, in fractional coordinates, are Ni at (0.0000, 0.0000, 0.0000), As at (0.0000, 0.0000, 0.7408), Rh at (0.0000, 0.0000, 0.2477) and Rh at (0.0000, 0.0000, 0.4896).

As for the magnetization: 0.00 μB/f.u. The calculation puts the density at 10.64 Mg/m³. The volume is 53.0 Å³/f.u. The calculation puts the total DFT energy (no corrections) at -82.31 eV for the cell shown. As for the energy of formation from the pure elements: 26 meV per atom.

This record from Alexandria via LeMat-Bulk describes a geometry-optimized NiAsRh2 structure. The functional is GGA-PBEsol.

It has space group P2/m (No. 10), with a = 2.813 Å, b = 3.697 Å, c = 5.232 Å, α = 90.00°, β = 101.77° and γ = 90.00°. The distinct sites, in fractional coordinates, are Ni at (0.000, 0.000, 0.000), As at (0.000, 0.000, 0.500) and Rh at (0.402, 0.500, 0.747).

As for the magnetization: 0.14 μB/f.u. The calculation puts the density at 10.58 Mg/m³. The volume is 53.3 Å³/f.u. The calculation puts the total DFT energy (no corrections) at -27.85 eV for the cell shown. As for the energy of formation from the pure elements: -78 meV per atom.

This record from Alexandria via LeMat-Bulk describes a geometry-optimized Ni2AsRu structure. The functional is GGA-PBEsol.

It has space group F-43m (No. 216), with a = 5.775 Å, b = 5.775 Å, c = 5.775 Å, α = 90.00°, β = 90.00° and γ = 90.00°. The distinct sites, in fractional coordinates, are Ni at (0.000, 0.000, 0.000), Ni at (0.250, 0.250, 0.250), As at (0.000, 0.000, 0.500) and Ru at (0.250, 0.250, 0.750).

As for the magnetization: 0.00 μB/f.u. The calculation puts the density at 10.12 Mg/m³. The volume is 48.1 Å³/f.u. The calculation puts the total DFT energy (no corrections) at -110.98 eV for the cell shown. As for the energy of formation from the pure elements: -38 meV per atom.

This record from Alexandria via LeMat-Bulk describes a geometry-optimized Ni2AsRu structure. The functional is GGA-PBEsol.

It has space group Cmmm (No. 65), with a = 4.865 Å, b = 7.334 Å, c = 2.753 Å, α = 90.00°, β = 90.00° and γ = 90.00°. The distinct sites, in fractional coordinates, are Ni at (0.250, 0.250, 0.000), As at (0.000, 0.000, 0.500) and Ru at (0.000, 0.500, 0.500).

As for the magnetization: 0.00 μB/f.u. The calculation puts the density at 9.92 Mg/m³. The volume is 49.1 Å³/f.u. The calculation puts the total DFT energy (no corrections) at -55.04 eV for the cell shown. As for the energy of formation from the pure elements: 19 meV per atom.

This record from Alexandria via LeMat-Bulk describes a geometry-optimized NiSbAs2 structure. The functional is GGA-PBEsol.

It has space group Immm (No. 71), with a = 2.985 Å, b = 4.731 Å, c = 10.307 Å, α = 90.00°, β = 90.00° and γ = 90.00°. The distinct sites, in fractional coordinates, are Ni at (0.000, 0.000, 0.000), Sb at (0.000, 0.000, 0.500) and As at (0.000, 0.500, 0.313).

As for the magnetization: 0.00 μB/f.u. As for the raw formation energy: 0.1063 eV per atom. The calculation puts the density at 7.54 Mg/m³. The volume is 72.8 Å³/f.u. The calculation puts the total DFT energy (no corrections) at -41.00 eV for the cell shown.

This record from Alexandria via LeMat-Bulk describes a geometry-optimized NiSb2As structure. The functional is GGA-PBEsol.

It has space group Imm2 (No. 44), with a = 3.105 Å, b = 4.705 Å, c = 11.096 Å, α = 90.00°, β = 90.00° and γ = 90.00°. The distinct sites, in fractional coordinates, are Ni at (0.000, 0.000, 0.000), Sb at (0.000, 0.000, 0.505), Sb at (0.000, 0.500, 0.697) and As at (0.000, 0.500, 0.335).

As for the magnetization: 0.00 μB/f.u. As for the raw formation energy: 0.0749 eV per atom. The calculation puts the density at 7.73 Mg/m³. The volume is 81.1 Å³/f.u. The calculation puts the total DFT energy (no corrections) at -40.16 eV for the cell shown.

This record from Alexandria via LeMat-Bulk describes a geometry-optimized Sc2NiAs structure. The functional is GGA-PBEsol.

It has space group Amm2 (No. 38), with a = 3.819 Å, b = 3.657 Å, c = 9.863 Å, α = 90.00°, β = 90.00° and γ = 90.00°. The distinct sites, in fractional coordinates, are Sc at (0.000, 0.000, 0.000), Sc at (0.500, 0.000, 0.286), Ni at (0.500, 0.000, 0.558) and As at (0.000, 0.000, 0.716).

As for the magnetization: 0.00 μB/f.u. The calculation puts the density at 5.39 Mg/m³. The volume is 68.9 Å³/f.u. The calculation puts the total DFT energy (no corrections) at -56.52 eV for the cell shown. As for the energy of formation from the pure elements: -947 meV per atom.

This record from Alexandria via LeMat-Bulk describes a geometry-optimized ScNi4As2 structure. The functional is GGA-PBEsol.

It has space group P4_2/mnm (No. 136), with a = 6.990 Å, b = 6.990 Å, c = 3.712 Å, α = 90.00°, β = 90.00° and γ = 90.00°. The distinct sites, in fractional coordinates, are Sc at (0.000, 0.000, 0.000), Ni at (0.090, 0.346, 0.500) and As at (0.217, 0.783, 0.500).

As for the magnetization: 0.00 μB/f.u. The calculation puts the density at 7.86 Mg/m³. The volume is 90.7 Å³/f.u. The calculation puts the total DFT energy (no corrections) at -91.86 eV for the cell shown. As for the energy of formation from the pure elements: -640 meV per atom.

This record from Alexandria via LeMat-Bulk describes a geometry-optimized ScNi2As structure. The functional is GGA-PBEsol.

It has space group I4/mmm (No. 139), with a = 3.981 Å, b = 3.981 Å, c = 6.686 Å, α = 90.00°, β = 90.00° and γ = 90.00°. The distinct sites, in fractional coordinates, are Sc at (0.000, 0.000, 0.000), Ni at (0.000, 0.500, 0.250) and As at (0.000, 0.000, 0.500).

As for the magnetization: 0.00 μB/f.u. The calculation puts the density at 7.44 Mg/m³. The volume is 53.0 Å³/f.u. The calculation puts the total DFT energy (no corrections) at -52.55 eV for the cell shown. As for the energy of formation from the pure elements: -562 meV per atom.

This record from Alexandria via LeMat-Bulk describes a geometry-optimized Sc3NiAs structure. The functional is GGA-PBEsol.

It has space group Pm-3m (No. 221), with a = 4.909 Å, b = 4.909 Å, c = 4.909 Å, α = 90.00°, β = 90.00° and γ = 90.00°. The distinct sites, in fractional coordinates, are Sc at (0.000, 0.000, 0.500), Ni at (0.500, 0.500, 0.500) and As at (0.000, 0.000, 0.000).

As for the magnetization: 1.35 μB/f.u. The calculation puts the density at 3.77 Mg/m³. The volume is 118.3 Å³/f.u. The calculation puts the total DFT energy (no corrections) at -30.60 eV for the cell shown. As for the energy of formation from the pure elements: 96 meV per atom.

This record from Alexandria via LeMat-Bulk describes a geometry-optimized Sc2NiAs structure. The functional is GGA-PBEsol.

It has space group P4mm (No. 99), with a = 3.745 Å, b = 3.745 Å, c = 5.328 Å, α = 90.00°, β = 90.00° and γ = 90.00°. The distinct sites, in fractional coordinates, are Sc at (0.000, 0.000, 0.000), Sc at (0.500, 0.500, 0.433), Ni at (0.500, 0.500, 0.957) and As at (0.000, 0.000, 0.501).

As for the magnetization: 0.00 μB/f.u. The calculation puts the density at 4.97 Mg/m³. The volume is 74.7 Å³/f.u. The calculation puts the total DFT energy (no corrections) at -26.98 eV for the cell shown. As for the energy of formation from the pure elements: -626 meV per atom.

This record from Alexandria via LeMat-Bulk describes a geometry-optimized ScNi2As structure. The functional is GGA-PBEsol.

It has space group F-43m (No. 216), with a = 6.013 Å, b = 6.013 Å, c = 6.013 Å, α = 90.00°, β = 90.00° and γ = 90.00°. The distinct sites, in fractional coordinates, are Sc at (0.000, 0.000, 0.000), Ni at (0.000, 0.000, 0.500), Ni at (0.250, 0.250, 0.750) and As at (0.250, 0.250, 0.250).

As for the magnetization: 0.00 μB/f.u. The calculation puts the density at 7.25 Mg/m³. The volume is 54.4 Å³/f.u. The calculation puts the total DFT energy (no corrections) at -102.71 eV for the cell shown. As for the energy of formation from the pure elements: -413 meV per atom.

This record from Alexandria via LeMat-Bulk describes a geometry-optimized ScNiAs4 structure. The functional is GGA-PBEsol.

It has space group F-43m (No. 216), with a = 7.585 Å, b = 7.585 Å, c = 7.585 Å, α = 90.00°, β = 90.00° and γ = 90.00°. The distinct sites, in fractional coordinates, are Sc at (0.000, 0.000, 0.000), Ni at (0.250, 0.250, 0.750) and As at (0.124, 0.124, 0.376).

As for the magnetization: 0.00 μB/f.u. The calculation puts the density at 6.14 Mg/m³. The volume is 109.1 Å³/f.u. The calculation puts the total DFT energy (no corrections) at -127.62 eV for the cell shown. As for the energy of formation from the pure elements: 214 meV per atom.